The following is a DFT calculation (PBE) of crystalline Pr3AlCd2PdAu2 at its relaxed geometry.

Cell: 4.0899 7.8353 7.8353 Å, 120.74 90.00 90.00°
Positions (direct):
Al 0.0000 0.2383 0.2383
Au 0.0000 0.3283 0.6524
Au 0.0000 0.6524 0.3283
Cd 0.0000 0.7582 0.9967
Cd 0.0000 0.9967 0.7582
Pr 0.5000 0.4060 0.9968
Pr 0.5000 0.5826 0.5826
Pr 0.5000 0.9968 0.4060
Pd 0.5000 0.0408 0.0408

Calculated values
Spin magnetization = 0.00 μB per formula unit
E = -4.205 eV per atom